Compound: Er2Th
Source: OQMD
Functional: PBE
Structure: optimized geometry

The structure in POSCAR format:
```
Er2Th
1.0
1.783 1.030 8.449
-1.783 1.030 8.449
0.000 -2.059 8.449
Er Th
2 1
Cartesian
0.000 0.000 18.332 Er
0.000 0.000 7.014 Er
0.000 0.000 12.673 Th
```

Calculated values
Space group   No. 166
E above lowest polymorph   0.0 meV/atom
DFT total energy   -5.533 eV per atom